[1]
VASP calculation (GGA-PBE) on a geometry-optimized Ac2Sm8Tm3 structure.

The structure in extended XYZ format:
```
13
Lattice="6.660 -5.954 0.000 6.660 5.954 0.000 -2.487 0.000 5.728" Properties=species:S:1:pos:R:3 pbc="T T T"
Ac 1.786 0.000 1.959
Ac 9.046 0.000 3.769
Sm -0.879 0.000 4.366
Sm 3.682 2.971 1.925
Sm 2.424 0.000 5.381
Sm 7.151 2.971 3.803
Sm 3.682 -2.971 1.925
Sm 8.408 0.000 0.347
Sm 7.151 -2.971 3.803
Sm 11.711 0.000 1.362
Tm 6.660 3.056 0.000
Tm 5.416 0.000 2.864
Tm 6.660 -3.056 0.000
```

Its symmetry is C2/m. Its formation energy is 251 kJ/mol of formula units. The spin magnetization comes out at 0.00 μB/cell. The total energy is -4.368 eV/atom.

---

[2]
VASP calculation (GGA-PBE) on a geometry-optimized AcSm4Tm7 structure.

The structure in extended XYZ format:
```
12
Lattice="6.141 -3.008 0.000 6.141 3.008 0.000 -6.096 0.000 11.042" Properties=species:S:1:pos:R:3 pbc="T T T"
Ac 0.000 0.000 0.000
Sm -1.052 0.000 7.522
Sm 3.202 0.000 2.479
Sm 2.985 0.000 8.563
Sm 7.239 0.000 3.519
Tm -1.426 0.000 3.777
Tm -2.954 0.000 10.170
Tm 1.465 0.000 5.448
Tm 6.141 0.000 0.000
Tm 4.722 0.000 5.594
Tm 9.141 0.000 0.871
Tm 7.613 0.000 7.264
```

Its symmetry is C2/m. Its formation energy is 357 kJ/mol of formula units. The spin magnetization comes out at 0.01 μB/cell. The total energy is -4.215 eV/atom.

---

[3]
VASP calculation (GGA-PBE) on a geometry-optimized Ac8Sm2Tm structure.

The structure in extended XYZ format:
```
11
Lattice="9.835 -2.769 0.000 9.835 2.769 0.000 -2.306 0.000 8.366" Properties=species:S:1:pos:R:3 pbc="T T T"
Ac 0.391 0.000 1.923
Ac 1.121 0.000 5.754
Ac 4.923 0.000 4.899
Ac 7.888 0.000 0.411
Ac 9.476 0.000 7.955
Ac 12.441 0.000 3.467
Ac 16.242 0.000 2.612
Ac 16.973 0.000 6.443
Sm 4.141 0.000 1.112
Sm 13.223 0.000 7.253
Tm 8.682 0.000 4.183
```

Its symmetry is C2/m. Its formation energy is 48 kJ/mol of formula units. The spin magnetization comes out at 0.00 μB/cell. The total energy is -4.207 eV/atom.

---

[4]
VASP calculation (GGA-PBE) on a geometry-optimized Ac3Sm7Tm2 structure.

The structure in extended XYZ format:
```
12
Lattice="3.721 0.000 0.000 0.000 5.913 0.000 1.859 0.942 19.801" Properties=species:S:1:pos:R:3 pbc="T T T"
Ac 0.000 0.000 0.000
Ac 1.862 1.941 7.076
Ac 3.719 4.914 12.725
Sm 1.859 4.930 16.328
Sm 1.860 1.963 10.760
Sm 1.862 4.867 2.857
Sm 1.861 2.957 0.000
Sm 3.719 1.988 16.944
Sm 3.721 4.892 9.042
Sm 3.722 1.925 3.473
Tm 1.858 1.972 14.127
Tm 3.723 4.883 5.674
```

Its symmetry is P-1. Its formation energy is 125 kJ/mol of formula units. The spin magnetization comes out at 0.00 μB/cell. The total energy is -4.417 eV/atom.

---

[5]
VASP calculation (GGA-PBE) on a geometry-optimized AcSm2Tm structure.

The structure in extended XYZ format:
```
4
Lattice="0.000 4.150 4.150 4.150 0.000 4.150 4.150 4.150 0.000" Properties=species:S:1:pos:R:3 pbc="T T T"
Ac 0.000 0.000 0.000
Sm 2.075 2.075 2.075
Sm 6.225 6.225 6.225
Tm 4.150 4.150 4.150
```

Its symmetry is Fm-3m. For the excess energy over the best structure of this formula in the dataset, the calculation gives 127 meV per atom. Its formation energy is 67 kJ/mol of formula units. The spin magnetization comes out at 0.00 μB/cell. The total energy is -4.332 eV/atom.

---

[6]
VASP calculation (GGA-PBE) on a geometry-optimized Ac2Sm4Tm5 structure.

The structure in extended XYZ format:
```
11
Lattice="12.175 -1.819 0.000 12.175 1.819 0.000 -3.411 0.000 8.630" Properties=species:S:1:pos:R:3 pbc="T T T"
Ac 1.278 0.000 3.678
Ac 19.661 0.000 4.953
Sm -1.386 0.000 6.187
Sm 7.144 0.000 1.386
Sm 13.795 0.000 7.244
Sm 22.325 0.000 2.444
Tm 2.930 0.000 0.644
Tm 4.249 0.000 5.717
Tm 12.175 0.000 0.000
Tm 16.690 0.000 2.913
Tm 18.010 0.000 7.986
```

Its symmetry is C2/m. Its formation energy is 143 kJ/mol of formula units. The spin magnetization comes out at 0.00 μB/cell. The total energy is -4.361 eV/atom.